(1)
This record from the Alexandria database describes an optimized crystal structure of La2Ga4AgAu3. The functional is PBE. Values from VASP.

```
&SYSTEM
  ibrav = 0, nat = 10, ntyp = 4
/
ATOMIC_SPECIES
La 138.91 La.upf
Ga 69.72 Ga.upf
Ag 107.87 Ag.upf
Au 196.97 Au.upf
ATOMIC_POSITIONS crystal
La 0.0000 0.5000 0.2484
La 0.5000 0.0000 0.7516
Ga 0.0000 0.0000 0.0000
Ga 0.0000 0.5000 0.6320
Ga 0.5000 0.0000 0.3680
Ga 0.5000 0.5000 0.0000
Ag 0.0000 0.0000 0.5000
Au 0.0000 0.5000 0.8706
Au 0.5000 0.0000 0.1294
Au 0.5000 0.5000 0.5000
CELL_PARAMETERS angstrom
4.4918 0.0000 0.0000
0.0000 4.4918 0.0000
0.0000 0.0000 10.5922
```

final energy	-40.98	eV for the cell shown
energy of formation from the pure elements	-0.6336	eV/atom
space group	P-4m2, No. 115

=====

(2)
This record from the Alexandria database describes an optimized crystal structure of LaGa2AgAu5. The functional is PBE. Values from VASP.

```
&SYSTEM
  ibrav = 0, nat = 9, ntyp = 4
/
ATOMIC_SPECIES
La 138.91 La.upf
Ga 69.72 Ga.upf
Ag 107.87 Ag.upf
Au 196.97 Au.upf
ATOMIC_POSITIONS crystal
La 0.0000 0.0000 0.0000
Ga 0.5000 0.5000 0.3410
Ga 0.5000 0.5000 0.6590
Ag 0.0000 0.0000 0.5000
Au 0.0000 0.5000 0.2588
Au 0.0000 0.5000 0.7412
Au 0.5000 0.0000 0.2588
Au 0.5000 0.0000 0.7412
Au 0.5000 0.5000 0.0000
CELL_PARAMETERS angstrom
4.9901 0.0000 0.0000
0.0000 4.9901 0.0000
0.0000 0.0000 7.6548
```

final energy	-32.89	eV for the cell shown
energy of formation from the pure elements	-0.2969	eV/atom
space group	P4/mmm, No. 123

=====

(3)
This record from the Alexandria database describes an optimized crystal structure of La2Ga3AgAu4. The functional is PBE. Values from VASP.

```
&SYSTEM
  ibrav = 0, nat = 10, ntyp = 4
/
ATOMIC_SPECIES
La 138.91 La.upf
Ga 69.72 Ga.upf
Ag 107.87 Ag.upf
Au 196.97 Au.upf
ATOMIC_POSITIONS crystal
La 0.0000 0.5000 0.2465
La 0.5000 0.0000 0.7535
Ga 0.0000 0.5000 0.8747
Ga 0.5000 0.0000 0.1253
Ga 0.5000 0.5000 0.5000
Ag 0.0000 0.0000 0.5000
Au 0.0000 0.0000 0.0000
Au 0.0000 0.5000 0.6413
Au 0.5000 0.0000 0.3587
Au 0.5000 0.5000 0.0000
CELL_PARAMETERS angstrom
4.5118 0.0000 0.0000
0.0000 4.5118 0.0000
0.0000 0.0000 10.7439
```

final energy	-40.88	eV for the cell shown
energy of formation from the pure elements	-0.5985	eV/atom
space group	P-4m2, No. 115

=====

(4)
This record from the Alexandria database describes an optimized crystal structure of Li3Ga2Ag2Au4. The functional is PBE. Values from VASP.

```
&SYSTEM
  ibrav = 0, nat = 11, ntyp = 4
/
ATOMIC_SPECIES
Li 6.94 Li.upf
Ga 69.72 Ga.upf
Ag 107.87 Ag.upf
Au 196.97 Au.upf
ATOMIC_POSITIONS crystal
Li 0.0000 0.0000 0.0000
Li 0.0000 0.0000 0.2739
Li 0.0000 0.0000 0.7261
Ga 0.3333 0.6667 0.0935
Ga 0.6667 0.3333 0.9065
Ag 0.3333 0.6667 0.5736
Ag 0.6667 0.3333 0.4264
Au 0.3333 0.6667 0.3246
Au 0.3333 0.6667 0.8537
Au 0.6667 0.3333 0.1463
Au 0.6667 0.3333 0.6754
CELL_PARAMETERS angstrom
4.5129 0.0000 0.0000
-2.2564 3.9083 0.0000
0.0000 0.0000 11.0759
```

final energy	-33.91	eV for the cell shown
energy of formation from the pure elements	-0.3004	eV/atom
space group	P-3m1, No. 164